Density functional theory data (PBE) for a relaxed structure of ReGeMo.

## Properties
Symmetry = F-43m, No. 216
E_tot = -27.03 eV for the cell shown
Crystal system = cubic

abc: 4.2295 4.2295 4.2295
angles: 60.00 60.00 60.00
Positions (direct):
1 Ge 0.2500 0.2500 0.2500
2 Mo 0.7500 0.7500 0.7500
3 Re 0.0000 0.0000 0.0000

***

Density functional theory data (PBE) for a relaxed structure of ZrNiB4.

## Properties
Symmetry = P6/mmm, No. 191
E_tot = -43.55 eV for the cell shown
Crystal system = hexagonal

abc: 3.1407 3.1407 6.1895
angles: 90.00 90.00 120.00
Positions (direct):
1 B 0.6667 0.3333 0.2217
2 B 0.3333 0.6667 0.2217
3 B 0.6667 0.3333 0.7783
4 B 0.3333 0.6667 0.7783
5 Ni 0.0000 0.0000 0.0000
6 Zr 0.0000 0.0000 0.5000

***

Density functional theory data (PBE) for a relaxed structure of Zr2Se3S.

## Properties
Symmetry = Pm, No. 6
E_tot = -39.06 eV for the cell shown
Crystal system = monoclinic

abc: 6.3636 3.6782 12.2441
angles: 90.00 105.04 90.00
Positions (direct):
1 S 0.6943 0.0000 0.8695
2 Se 0.3294 0.5000 0.1403
3 Se 0.8296 0.0000 0.1452
4 Se 0.1829 0.5000 0.8522
5 Zr 0.4246 0.0000 0.9951
6 Zr 0.9212 0.5000 0.9977

***

Density functional theory data (PBE) for a relaxed structure of Fe4SiNi2Ge.

## Properties
Symmetry = P-4m2, No. 115
E_tot = -56.18 eV for the cell shown
Crystal system = tetragonal

abc: 4.0269 4.0269 5.7038
angles: 90.00 90.00 90.00
Last column: magnetic moment on the atom in μB.
Positions (direct):
1 Fe 0.5000 0.5000 0.0000  2.67
2 Fe 0.5000 0.0000 0.2555  1.87
3 Fe 0.0000 0.0000 0.5000  2.62
4 Fe 0.0000 0.5000 0.7445  1.87
5 Ge 0.0000 0.0000 0.0000  -0.03
6 Ni 0.0000 0.5000 0.2556  0.40
7 Ni 0.5000 0.0000 0.7444  0.42
8 Si 0.5000 0.5000 0.5000  -0.02

***

Density functional theory data (PBE) for a relaxed structure of UC2.

## Properties
Symmetry = Fm-3m, No. 225
E_tot = -28.13 eV for the cell shown
Crystal system = cubic

abc: 3.8031 3.8031 3.8031
angles: 120.00 90.00 120.00
Positions (direct):
1 C 0.7500 0.5000 0.2500
2 C 0.2500 0.5000 0.7500
3 U 0.0000 0.0000 0.0000

***

Density functional theory data (PBE) for a relaxed structure of CsDy2Cu3SeS4.

## Properties
Symmetry = Cmcm, No. 63
E_tot = -108.96 eV for the cell shown
Crystal system = orthorhombic

abc: 7.3265 7.3265 16.9769
angles: 90.00 90.00 148.37
Positions (direct):
1 Cs 0.9394 0.0606 0.2500
2 Cs 0.0606 0.9394 0.7500
3 Cu 0.4158 0.5842 0.0369
4 Cu 0.6492 0.3508 0.2500
5 Cu 0.4158 0.5842 0.4631
6 Cu 0.5842 0.4158 0.5369
7 Cu 0.3508 0.6492 0.7500
8 Cu 0.5842 0.4158 0.9631
9 Dy 0.1902 0.8098 0.0886
10 Dy 0.1902 0.8098 0.4114
11 Dy 0.8098 0.1902 0.5886
12 Dy 0.8098 0.1902 0.9114
13 S 0.8308 0.1692 0.0686
14 S 0.5617 0.4382 0.1077
15 S 0.5617 0.4382 0.3923
16 S 0.8308 0.1692 0.4314
17 S 0.1692 0.8308 0.5686
18 S 0.4382 0.5617 0.6077
19 S 0.4382 0.5617 0.8923
20 S 0.1692 0.8308 0.9314
21 Se 0.2377 0.7623 0.2500
22 Se 0.7623 0.2377 0.7500

***

Density functional theory data (PBE) for a relaxed structure of Hf4Ta2Bi3N3.

## Properties
Symmetry = C2/c, No. 15
E_tot = -215.84 eV for the cell shown
Crystal system = monoclinic

abc: 5.9899 5.9899 13.8550
angles: 102.36 102.36 59.97
Positions (direct):
1 Bi 0.4159 0.2567 0.2489
2 Bi 0.0896 0.9104 0.2500
3 Bi 0.7433 0.5841 0.2511
4 Bi 0.2567 0.4159 0.7489
5 Bi 0.9104 0.0896 0.7500
6 Bi 0.5841 0.7433 0.7511
7 Hf 0.0187 0.2006 0.0810
8 Hf 0.6961 0.8522 0.0812
9 Hf 0.1478 0.3039 0.4188
10 Hf 0.7994 0.9813 0.4190
11 Hf 0.2006 0.0187 0.5810
12 Hf 0.8522 0.6961 0.5812
13 Hf 0.3039 0.1478 0.9188
14 Hf 0.9813 0.7994 0.9190
15 N 0.0000 0.5000 0.0000
16 N 0.3285 0.8476 0.0001
17 N 0.1524 0.6715 0.4999
18 N 0.5000 0.0000 0.5000
19 N 0.8476 0.3285 0.5001
20 N 0.6715 0.1524 0.9999
21 Ta 0.3675 0.5268 0.0737
22 Ta 0.4732 0.6325 0.4263
23 Ta 0.5268 0.3675 0.5737
24 Ta 0.6325 0.4732 0.9263

***

Density functional theory data (PBE) for a relaxed structure of RbLiZrS3.

## Properties
Symmetry = Pnma, No. 62
E_tot = -130.76 eV for the cell shown
Crystal system = orthorhombic

abc: 14.7877 3.8555 10.2903
angles: 90.00 90.00 90.00
Positions (direct):
1 Li 0.0143 0.2500 0.0906
2 Li 0.5143 0.2500 0.4094
3 Li 0.4857 0.7500 0.5906
4 Li 0.9857 0.7500 0.9094
5 Rb 0.2308 0.7500 0.0271
6 Rb 0.7308 0.7500 0.4729
7 Rb 0.2692 0.2500 0.5271
8 Rb 0.7692 0.2500 0.9729
9 S 0.4120 0.2500 0.0689
10 S 0.9244 0.7500 0.1287
11 S 0.6202 0.2500 0.2347
12 S 0.1202 0.2500 0.2653
13 S 0.4244 0.7500 0.3713
14 S 0.9120 0.2500 0.4311
15 S 0.0880 0.7500 0.5689
16 S 0.5756 0.2500 0.6287
17 S 0.8798 0.7500 0.7347
18 S 0.3798 0.7500 0.7653
19 S 0.0756 0.2500 0.8713
20 S 0.5880 0.7500 0.9311
21 Zr 0.5127 0.7500 0.1660
22 Zr 0.0127 0.7500 0.3340
23 Zr 0.9873 0.2500 0.6660
24 Zr 0.4873 0.2500 0.8340

***

Density functional theory data (PBE) for a relaxed structure of GaRe2Ni.

## Properties
Symmetry = F-43m, No. 216
E_tot = -32.96 eV for the cell shown
Crystal system = cubic

abc: 4.2761 4.2761 4.2761
angles: 60.00 60.00 60.00
Last column: magnetic moment on the atom in μB.
Positions (direct):
1 Ga 0.5000 0.5000 0.5000  0.00
2 Ni 0.2500 0.2500 0.2500  0.04
3 Re 0.0000 0.0000 0.0000  0.06
4 Re 0.7500 0.7500 0.7500  0.00

***

Density functional theory data (PBE) for a relaxed structure of Gd4PtAu3.

## Properties
Symmetry = Pm, No. 6
E_tot = -42.21 eV for the cell shown
Crystal system = monoclinic
DFT formation energy = -967 meV/atom

abc: 5.6618 4.6442 7.2253
angles: 90.00 90.67 90.00
Positions (direct):
1 Au 0.8432 0.5000 0.0396
2 Au 0.6582 0.5000 0.5425
3 Au 0.1524 0.0000 0.9580
4 Gd 0.3529 0.5000 0.1943
5 Gd 0.8582 0.0000 0.3189
6 Gd 0.1522 0.5000 0.6770
7 Gd 0.6406 0.0000 0.8116
8 Pt 0.3423 0.0000 0.4581